# 1
This record from the Alexandria database describes a relaxed RuAuS2Cl crystal. The functional is GGA-PBE.

Unit cell a=4.5366 b=4.5366 c=5.0172 alpha=90.00 beta=90.00 gamma=90.00
With the nearest neighbours (Å) after each atom.
Fractional coordinates of all 5 atoms:
S  0.0000  0.5000  0.0000  2 Ru 2.27
S  0.5000  0.0000  0.0000  2 Ru 2.27
Au  0.5000  0.5000  0.5000  4 Cl 3.21, 8 S 3.38
Cl  0.0000  0.0000  0.5000  2 Ru 2.51
Ru  0.0000  0.0000  0.0000  4 S 2.27, 2 Cl 2.51

Values from the calculation:
The formation energy from raw total energies comes out at 462 meV per atom.

---

# 2
This record from the Alexandria database describes a relaxed RuAuS2Cl crystal. The functional is GGA-PBE.

Unit cell a=4.8693 b=4.8693 c=4.8705 alpha=90.00 beta=90.00 gamma=90.00
With the nearest neighbours (Å) after each atom.
Fractional coordinates of all 5 atoms:
S  0.5000  0.0000  0.0000  2 Au 2.43
S  0.0000  0.5000  0.0000  2 Au 2.43
Cl  0.0000  0.0000  0.5000  2 Au 2.44
Au  0.0000  0.0000  0.0000  4 S 2.43, 2 Cl 2.44
Ru  0.5000  0.5000  0.5000  4 Cl 3.44, 8 S 3.44

Values from the calculation:
The formation energy from raw total energies comes out at 1142 meV per atom.

---

Please write out number 1 again, unchanged.
This record from the Alexandria database describes a relaxed RuAuS2Cl crystal. The functional is GGA-PBE.

Unit cell a=4.5366 b=4.5366 c=5.0172 alpha=90.00 beta=90.00 gamma=90.00
With the nearest neighbours (Å) after each atom.
Fractional coordinates of all 5 atoms:
S  0.0000  0.5000  0.0000  2 Ru 2.27
S  0.5000  0.0000  0.0000  2 Ru 2.27
Au  0.5000  0.5000  0.5000  4 Cl 3.21, 8 S 3.38
Cl  0.0000  0.0000  0.5000  2 Ru 2.51
Ru  0.0000  0.0000  0.0000  4 S 2.27, 2 Cl 2.51

Values from the calculation:
The formation energy from raw total energies comes out at 462 meV per atom.

---

Look up the formation energy from raw total energies of the first one. 462 meV per atom